[1]
{
  "formula": "BeCu2PbW",
  "functional": "PBE-GGA",
  "state": "optimized geometry",
  "dos_at_fermi_per_ev_fu": 3.17,
  "formation_enthalpy_0k_kcal_per_mol_atoms": 15.30,
  "cell": [[-1.9682, 2.3055, -2.8943], [-1.1751, -3.7319, -2.1736], [-3.5329, -0.1959, 2.2464]],
  "species": ["Pb", "Be", "Cu", "Cu", "W"],
  "fractional_positions": [[0.5000, 0.5000, 0.5000], [0.0000, 0.0000, 0.0000], [0.0000, 0.0000, 0.5000], [0.5000, 0.0000, 0.0000], [0.0000, 0.5000, 0.0000]]
}

[2]
{
  "formula": "TaNO2F",
  "functional": "PBE-GGA",
  "state": "optimized geometry",
  "energy_ev_per_fu": -28.6,
  "dos_at_fermi_per_ev_fu": 2.94,
  "cell": [[3.7678, 0.0000, 0.0000], [0.0000, 3.7678, 0.0000], [0.0000, 0.0000, 3.4136]],
  "species": ["N", "F", "O", "O", "Ta"],
  "fractional_positions": [[0.0000, 0.0000, 0.0000], [0.0000, 0.0000, 0.5000], [0.0000, 0.5000, 0.0000], [0.5000, 0.0000, 0.0000], [0.5000, 0.5000, 0.5000]]
}

[3]
{
  "formula": "Hf4SiRh",
  "functional": "PBE-GGA",
  "state": "optimized geometry",
  "energy_ev_per_fu": -52.6,
  "dos_at_fermi_per_ev_fu": 5.07,
  "cell": [[-3.0834, 0.3991, 6.4297], [6.7621, -2.2670, 0.3769], [0.0108, 6.5425, -2.8641]],
  "species": ["Hf", "Hf", "Hf", "Hf", "Hf", "Hf", "Hf", "Hf", "Si", "Si", "Rh", "Rh"],
  "fractional_positions": [[0.2544, 0.9570, 0.7026], [0.7468, 0.4429, 0.6961], [0.7070, 0.5044, 0.2026], [0.1929, 0.9968, 0.1961], [0.3018, 0.5044, 0.7974], [0.8007, 0.9968, 0.8039], [0.7468, 0.0507, 0.3039], [0.2544, 0.5518, 0.2974], [0.7483, 0.7483, 0.0000], [0.4983, 0.9983, 0.5000], [0.2492, 0.2492, 0.0000], [0.9992, 0.4992, 0.5000]]
}

[4]
{
  "formula": "Pm2SnPd8",
  "functional": "PBE-GGA",
  "state": "optimized geometry",
  "dos_at_fermi_per_ev_fu": 3.78,
  "formation_enthalpy_0k_kcal_per_mol_atoms": -13.55,
  "cell": [[-1.8238, -1.6808, -4.0821], [-2.2880, -4.7410, 2.9743], [-4.0494, 6.9149, 1.7566]],
  "species": ["Pm", "Pm", "Sn", "Pd", "Pd", "Pd", "Pd", "Pd", "Pd", "Pd", "Pd"],
  "fractional_positions": [[0.8140, 0.3142, 0.6281], [0.1860, 0.6858, 0.3719], [0.5000, 0.0000, 0.0000], [0.3598, 0.5987, 0.7195], [0.6402, 0.8790, 0.2804], [0.8201, 0.8203, 0.6402], [0.0000, 0.2459, 0.0000], [0.1799, 0.1797, 0.3598], [0.3598, 0.1210, 0.7196], [0.6402, 0.4013, 0.2805], [0.0000, 0.7541, 0.0000]]
}

[5]
{
  "formula": "TlZnFe2",
  "functional": "PBE-GGA",
  "state": "optimized geometry",
  "dos_at_fermi_per_ev_fu": 1.54,
  "formation_enthalpy_0k_kcal_per_mol_atoms": 8.83,
  "cell": [[4.2740, 0.0000, 0.0000], [0.0000, 2.8514, -0.0889], [0.0000, 0.4780, 5.1759]],
  "species": ["Fe", "Fe", "Tl", "Zn"],
  "fractional_positions": [[0.0000, 0.0711, 0.9810], [0.5000, 0.1659, 0.2299], [0.0000, 0.6148, 0.4707], [0.5000, 0.6482, 0.8184]]
}

[6]
{
  "formula": "Ce2SmN",
  "functional": "PBE-GGA",
  "state": "optimized geometry",
  "energy_ev_per_fu": -27.4,
  "dos_at_fermi_per_ev_fu": 9.55,
  "cell": [[-0.2380, 0.5418, 3.4667], [0.8103, -2.5843, 2.2434], [8.9801, 2.2072, 2.0554]],
  "species": ["Ce", "Ce", "Sm", "N"],
  "fractional_positions": [[0.2827, 0.2827, 0.1518], [0.7173, 0.7173, 0.8482], [0.5000, 0.5000, 0.5000], [0.0000, 0.0000, 0.0000]]
}

[7]
{
  "formula": "Li3AcSb",
  "functional": "PBE-GGA",
  "state": "optimized geometry",
  "energy_ev_per_fu": -16.0,
  "dos_at_fermi_per_ev_fu": 2.49,
  "cell": [[4.6896, 0.0000, 0.0000], [0.0000, 9.6285, 0.0000], [0.0000, 0.0000, 11.1215]],
  "species": ["Li", "Li", "Li", "Li", "Li", "Li", "Li", "Li", "Li", "Li", "Li", "Li", "Ac", "Ac", "Ac", "Ac", "Sb", "Sb", "Sb", "Sb"],
  "fractional_positions": [[0.2500, 0.5532, 0.1031], [0.7500, 0.4468, 0.8969], [0.2500, 0.0532, 0.3969], [0.7500, 0.9468, 0.6031], [0.2500, 0.3894, 0.7053], [0.7500, 0.1106, 0.2053], [0.2500, 0.8894, 0.7947], [0.7500, 0.6275, 0.7209], [0.2500, 0.3725, 0.2791], [0.7500, 0.1275, 0.7791], [0.7500, 0.6106, 0.2947], [0.2500, 0.8725, 0.2209], [0.7500, 0.7983, 0.0160], [0.2500, 0.7017, 0.5160], [0.7500, 0.2983, 0.4840], [0.2500, 0.2017, 0.9840], [0.2500, 0.1119, 0.6463], [0.2500, 0.6119, 0.8537], [0.7500, 0.3881, 0.1463], [0.7500, 0.8881, 0.3537]]
}

[8]
{
  "formula": "CuPSe4",
  "functional": "PBE-GGA",
  "state": "optimized geometry",
  "energy_ev_per_fu": -23.4,
  "dos_at_fermi_per_ev_fu": 2.07,
  "cell": [[7.2211, -0.4157, 0.0000], [-1.7853, 5.0641, 0.0000], [-2.7179, -2.3242, 9.3223]],
  "species": ["Cu", "Cu", "P", "P", "Se", "Se", "Se", "Se", "Se", "Se", "Se", "Se"],
  "fractional_positions": [[0.3351, 0.5851, 0.1702], [0.6649, 0.4149, 0.8298], [0.8541, 0.1041, 0.2083], [0.1459, 0.8959, 0.7917], [0.3216, 0.1028, 0.6592], [0.9137, 0.7756, 0.0553], [0.1624, 0.4436, 0.3408], [0.3584, 0.7203, 0.9447], [0.6784, 0.8972, 0.3408], [0.8376, 0.5564, 0.6592], [0.0863, 0.2244, 0.9447], [0.6416, 0.2797, 0.0553]]
}

[9]
{
  "formula": "NiSICl2",
  "functional": "PBE-GGA",
  "state": "optimized geometry",
  "energy_ev_per_fu": -14.5,
  "dos_at_fermi_per_ev_fu": 6.38,
  "cell": [[-2.1065, 3.5607, 1.9118], [-0.1244, -2.2120, 3.9828], [4.3290, 1.9168, 1.1998]],
  "species": ["I", "Ni", "S", "Cl", "Cl"],
  "fractional_positions": [[0.5000, 0.5000, 0.5000], [0.0000, 0.0000, 0.0000], [0.0000, 0.0000, 0.5000], [0.0000, 0.5000, 0.0000], [0.5000, 0.0000, 0.0000]]
}

[10]
{
  "formula": "LuInO6",
  "functional": "PBE-GGA",
  "state": "optimized geometry",
  "energy_ev_per_fu": -46.2,
  "cell": [[3.6968, 5.1415, -0.0016], [-3.6968, 5.1415, -0.0016], [0.0000, 5.1129, 5.3266]],
  "species": ["Lu", "Lu", "In", "In", "O", "O", "O", "O", "O", "O", "O", "O", "O", "O", "O", "O"],
  "fractional_positions": [[0.0000, 0.5000, 0.5000], [0.5000, 0.0000, 0.5000], [0.5000, 0.0000, 0.0000], [0.0000, 0.5000, 0.0000], [0.6971, 0.6971, 0.3941], [0.3029, 0.3029, 0.6059], [0.6623, 0.6623, 0.2308], [0.3377, 0.3377, 0.7692], [0.8973, 0.0964, 0.6835], [0.1027, 0.9036, 0.3165], [0.0964, 0.8973, 0.6835], [0.9036, 0.1027, 0.3165], [0.4177, 0.7795, 0.8968], [0.5823, 0.2205, 0.1032], [0.2205, 0.5823, 0.1032], [0.7795, 0.4177, 0.8968]]
}

[11]
{
  "formula": "KBaLa2",
  "functional": "PBE-GGA",
  "state": "optimized geometry",
  "dos_at_fermi_per_ev_fu": 7.17,
  "formation_enthalpy_0k_kcal_per_mol_atoms": 11.75,
  "cell": [[-4.2525, -1.7885, -2.1568], [2.8006, -2.5977, -3.3678], [-0.4957, -13.3417, 6.0284]],
  "species": ["K", "K", "Ba", "Ba", "La", "La", "La", "La"],
  "fractional_positions": [[0.5000, 0.5000, 0.0000], [0.2500, 0.7500, 0.5000], [0.0000, 0.0000, 0.0000], [0.7500, 0.2500, 0.5000], [0.6154, 0.1250, 0.2500], [0.1346, 0.6250, 0.2500], [0.3750, 0.3846, 0.7500], [0.8750, 0.8654, 0.7500]]
}

[12]
{
  "formula": "CePu3Ge2",
  "functional": "PBE-GGA",
  "state": "optimized geometry",
  "dos_at_fermi_per_ev_fu": 19.14,
  "formation_enthalpy_0k_kcal_per_mol_atoms": -8.72,
  "cell": [[4.5778, 0.0000, 0.0000], [0.0000, 6.1588, 0.0000], [0.0000, 0.0000, 9.7263]],
  "species": ["Ce", "Ce", "Pu", "Pu", "Pu", "Pu", "Pu", "Pu", "Ge", "Ge", "Ge", "Ge"],
  "fractional_positions": [[0.5000, 0.6191, 0.5598], [0.5000, 0.1191, 0.4402], [0.0000, 0.3847, 0.9507], [0.0000, 0.8847, 0.0493], [0.5000, 0.6916, 0.1753], [0.5000, 0.1916, 0.8247], [0.0000, 0.3083, 0.3137], [0.0000, 0.8083, 0.6863], [0.5000, 0.6967, 0.8722], [0.5000, 0.1967, 0.1278], [0.0000, 0.2996, 0.6333], [0.0000, 0.7996, 0.3667]]
}